# 1
The following is a PBE calculation of a relaxed Na2CoReGe crystal, from Alexandria via LeMat-Bulk.

Results
Spin magnetization = 0.5272 μB/atom
Calculated total energy = -3.8204 eV per atom
Energy of formation from the pure elements = 1.541 eV per atom
Fermi-level density of states = 3.78 states/eV per cell

```
data_Na2CoReGe
_chemical_formula_sum 'Na2 Co1 Re1 Ge1'
_cell_length_a 5.541
_cell_length_b 5.541
_cell_length_c 4.328
_cell_angle_alpha 90.00
_cell_angle_beta 90.00
_cell_angle_gamma 90.00
_symmetry_space_group_name_H-M 'P 4/m m m'
_symmetry_Int_Tables_number 123
_symmetry_space_group_name_Hall '-P 4 2'
loop_
_atom_site_label
_atom_site_type_symbol
_atom_site_fract_x
_atom_site_fract_y
_atom_site_fract_z
_atom_site_occupancy
Na1 Na 0.000 0.500 0.000 1
Co1 Co 0.000 0.000 0.500 1
Re1 Re 0.000 0.000 0.000 1
Ge1 Ge 0.500 0.500 0.500 1
```


# 2
The following is a PBE calculation of a relaxed CdRe2Pt crystal, from Alexandria via LeMat-Bulk.

Results
Spin magnetization = 0.0000 μB/atom
Calculated total energy = -7.5893 eV per atom
Energy of formation from the pure elements = 0.374 eV per atom
Fermi-level density of states = 4.47 states/eV per cell

```
data_CdRe2Pt
_chemical_formula_sum 'Cd2 Re4 Pt2'
_cell_length_a 3.826
_cell_length_b 4.308
_cell_length_c 7.972
_cell_angle_alpha 90.00
_cell_angle_beta 90.00
_cell_angle_gamma 90.00
_symmetry_space_group_name_H-M 'I m m 2'
_symmetry_Int_Tables_number 44
loop_
_symmetry_equiv_pos_as_xyz
'x,y,z'
'-x,-y,z'
'-x,y,z'
'x,-y,z'
'x+1/2,y+1/2,z+1/2'
'-x+1/2,-y+1/2,z+1/2'
'-x+1/2,y+1/2,z+1/2'
'x+1/2,-y+1/2,z+1/2'
loop_
_atom_site_label
_atom_site_type_symbol
_atom_site_fract_x
_atom_site_fract_y
_atom_site_fract_z
_atom_site_occupancy
Cd1 Cd 0.000 0.000 0.000 1
Re1 Re 0.000 0.000 0.468 1
Re2 Re 0.000 0.500 0.763 1
Pt1 Pt 0.000 0.500 0.243 1
```


# 3
The following is a PBE calculation of a relaxed LiPu2Si2Rh5 crystal, from Alexandria via LeMat-Bulk.

Results
Spin magnetization = 1.0060 μB/atom
Calculated total energy = -8.4236 eV per atom
Fermi-level density of states = 48.82 states/eV per cell
ΔE_f (raw) = -606 meV/atom

```
data_LiPu2Si2Rh5
_chemical_formula_sum 'Li2 Pu4 Si4 Rh10'
_cell_length_a 9.831
_cell_length_b 9.831
_cell_length_c 3.414
_cell_angle_alpha 90.00
_cell_angle_beta 90.00
_cell_angle_gamma 90.00
_symmetry_space_group_name_H-M 'P 4/m b m'
_symmetry_Int_Tables_number 127
_symmetry_space_group_name_Hall '-P 4 2ab'
loop_
_atom_site_label
_atom_site_type_symbol
_atom_site_fract_x
_atom_site_fract_y
_atom_site_fract_z
_atom_site_occupancy
Li1 Li 0.000 0.000 0.000 1
Pu1 Pu 0.174 0.326 0.000 1
Si1 Si 0.126 0.626 0.000 1
Rh1 Rh 0.000 0.500 0.500 1
Rh2 Rh 0.067 0.789 0.500 1
```


# 4
The following is a PBE calculation of a relaxed K3ZnC crystal, from Alexandria via LeMat-Bulk.

Results
Spin magnetization = 0.2345 μB/atom
Calculated total energy = -1.8306 eV per atom
Energy of formation from the pure elements = 0.927 eV per atom
Fermi-level density of states = 2.22 states/eV per cell
Energy relative to the lowest polymorph listed for this composition = 0.0000 eV/atom

```
data_K3ZnC
_chemical_formula_sum 'K3 Zn1 C1'
_cell_length_a 5.816
_cell_length_b 5.816
_cell_length_c 5.816
_cell_angle_alpha 90.00
_cell_angle_beta 90.00
_cell_angle_gamma 90.00
_symmetry_space_group_name_H-M 'P m -3 m'
_symmetry_Int_Tables_number 221
_symmetry_space_group_name_Hall '-P 4 2 3'
loop_
_atom_site_label
_atom_site_type_symbol
_atom_site_fract_x
_atom_site_fract_y
_atom_site_fract_z
_atom_site_occupancy
K1 K 0.000 0.000 0.500 1
Zn1 Zn 0.500 0.500 0.500 1
C1 C 0.000 0.000 0.000 1
```


# 5
The following is a PBE calculation of a relaxed MgCo2Cu crystal, from Alexandria via LeMat-Bulk.

Results
Spin magnetization = 0.7447 μB/atom
Calculated total energy = -4.7807 eV per atom
Energy of formation from the pure elements = 0.195 eV per atom
Fermi-level density of states = 9.76 states/eV per cell

```
data_MgCo2Cu
_chemical_formula_sum 'Mg3 Co6 Cu3'
_cell_length_a 2.6500
_cell_length_b 2.6500
_cell_length_c 25.3845
_cell_angle_alpha 90.00
_cell_angle_beta 90.00
_cell_angle_gamma 120.00
_symmetry_space_group_name_H-M 'R 3 m'
_symmetry_Int_Tables_number 160
_symmetry_space_group_name_Hall 'R 3 -2"'
loop_
_atom_site_label
_atom_site_type_symbol
_atom_site_fract_x
_atom_site_fract_y
_atom_site_fract_z
_atom_site_occupancy
Mg1 Mg 0.0000 0.0000 0.0000 1
Co1 Co 0.0000 0.0000 0.2455 1
Co2 Co 0.0000 0.0000 0.5043 1
Cu1 Cu 0.0000 0.0000 0.7561 1
```


# 6
The following is a PBE calculation of a relaxed Th2ZnAg crystal, from Alexandria via LeMat-Bulk.

Results
Spin magnetization = 0.0000 μB/atom
Calculated total energy = -4.8430 eV per atom
Energy of formation from the pure elements = -0.102 eV per atom
Fermi-level density of states = 3.64 states/eV per cell

```
data_Th2ZnAg
_chemical_formula_sum 'Th2 Zn1 Ag1'
_cell_length_a 3.641
_cell_length_b 3.641
_cell_length_c 7.677
_cell_angle_alpha 90.00
_cell_angle_beta 90.00
_cell_angle_gamma 90.00
_symmetry_space_group_name_H-M 'P 4/m m m'
_symmetry_Int_Tables_number 123
_symmetry_space_group_name_Hall '-P 4 2'
loop_
_atom_site_label
_atom_site_type_symbol
_atom_site_fract_x
_atom_site_fract_y
_atom_site_fract_z
_atom_site_occupancy
Th1 Th 0.000 0.000 0.242 1
Zn1 Zn 0.500 0.500 0.000 1
Ag1 Ag 0.500 0.500 0.500 1
```